DFT (meta-GGA SCAN) results for a crystal of Cd2SbIr relaxed with PBEsol.

Cell and atoms, written as CIF:
```
data_Cd2SbIr
_chemical_formula_sum 'Cd2 Sb1 Ir1'
_cell_length_a 3.0488
_cell_length_b 3.0488
_cell_length_c 8.8560
_cell_angle_alpha 90.00
_cell_angle_beta 90.00
_cell_angle_gamma 90.00
_space_group_name_H-M_alt 'P 1'
_space_group_IT_number 1
loop_
_space_group_symop_operation_xyz
'x,y,z'
loop_
_atom_site_label
_atom_site_fract_x
_atom_site_fract_y
_atom_site_fract_z
_atom_site_occupancy
Sb1 0.5000 0.5000 0.5000 1
Ir1 0.5000 0.5000 0.0000 1
Cd1 0.0000 0.0000 0.8016 1
Cd2 0.0000 0.0000 0.1984 1
```

Computed properties:
total DFT energy (no corrections): -42.069 eV per atom
ρ: 10869 kg/m3
SG: P4/mmm, No. 123
Fermi-level density of states: 2.19 states/eV per cell
raw formation energy: 0.23 eV/atom